VASP calculation (PBE-GGA) on crystalline Rb8Cd6O at its relaxed geometry.

**ΔE_f (raw)**: -0.170 eV/atom
**Uncorrected energy**: -20.74 eV per formula unit
**Symmetry**: R-3 (148)
**DOS at the Fermi energy**: 0.61 states/eV per atom

Cell: 9.3907 9.3907 9.3907 Å, 67.91 67.91 67.91°
With the nearest neighbours (Å) after each atom.
Sites, in units of the cell vectors:
Rb 0.0914 0.0914 0.0914  3 Cd 3.69, 1 Rb 3.94
Rb 0.2250 0.6453 0.3979  1 O 2.77
Rb 0.3547 0.6021 0.7750  1 O 2.77
Rb 0.3979 0.2250 0.6453  1 O 2.77
Rb 0.6021 0.7750 0.3547  1 O 2.77
Rb 0.6453 0.3979 0.2250  1 O 2.77
Rb 0.7750 0.3547 0.6021  1 O 2.77
Rb 0.9086 0.9086 0.9086  3 Cd 3.69, 1 Rb 3.94
Cd 0.1000 0.4331 0.1893  2 Cd 3.13
Cd 0.1893 0.1000 0.4331  2 Cd 3.13
Cd 0.4331 0.1893 0.1000  2 Cd 3.13
Cd 0.5669 0.8107 0.9000  2 Cd 3.13
Cd 0.8107 0.9000 0.5669  2 Cd 3.13
Cd 0.9000 0.5669 0.8107  2 Cd 3.13
O 0.5000 0.5000 0.5000  6 Rb 2.77